Arrangement w

# AcLaInHg

A relaxed structure of AcLaInHg (PBE, Alexandria).

total magnetic moment: 2.8 μB/cell
crystal system: cubic
density: 8.728 g/cm³

Lattice parameters (Å, degrees): 8.0336 8.0336 8.0336 90.00 90.00 90.00
Last column: nearest neighbours and their distance in Å.
Space group F-43m (No. 216)
One atom of each set of equivalent atoms:
Ac1 0.0000 0.0000 0.0000 (multiplicity 4)  4 Hg 3.48, 4 In 3.48
La1 0.0000 0.0000 0.5000 (multiplicity 4)  4 Hg 3.48, 4 In 3.48
In1 0.2500 0.2500 0.2500 (multiplicity 4)  4 Ac 3.48, 4 La 3.48
Hg1 0.2500 0.2500 0.7500 (multiplicity 4)  4 Ac 3.48, 4 La 3.48

Arrangement x

# AcLaInHg

A relaxed structure of AcLaInHg (PBE, Alexandria).

total magnetic moment: 0.0 μB/cell
crystal system: tetragonal
density: 8.804 g/cm³

Lattice parameters (Å, degrees): 3.9794 3.9794 8.1145 90.00 90.00 90.00
Last column: nearest neighbours and their distance in Å.
Space group P4mm (No. 99)
One atom of each set of equivalent atoms:
Ac1 0.0000 0.0000 0.0000 (multiplicity 1)  4 Hg 3.53, 4 In 3.54
La1 0.0000 0.0000 0.5060 (multiplicity 1)  4 Hg 3.38, 4 In 3.42
In1 0.5000 0.5000 0.2654 (multiplicity 1)  4 La 3.42, 4 Ac 3.54, 1 Hg 3.83
Hg1 0.5000 0.5000 0.7373 (multiplicity 1)  4 La 3.38, 4 Ac 3.53

Which structure is the most stable? The one labeled arrangement x.

Arrangement w

# AcInHgPb

A relaxed structure of AcInHgPb (PBE, Alexandria).

total magnetic moment: 0.0 μB/cell
crystal system: cubic
density: 10.110 g/cm³

Lattice parameters (Å, degrees): 7.8970 7.8970 7.8970 90.00 90.00 90.00
Last column: nearest neighbours and their distance in Å.
Space group F-43m (No. 216)
One atom of each set of equivalent atoms:
Ac1 0.0000 0.0000 0.0000 (multiplicity 4)  4 Hg 3.42, 4 In 3.42
In1 0.2500 0.2500 0.7500 (multiplicity 4)  4 Ac 3.42, 4 Pb 3.42
Hg1 0.2500 0.2500 0.2500 (multiplicity 4)  4 Pb 3.42, 4 Ac 3.42
Pb1 0.0000 0.0000 0.5000 (multiplicity 4)  4 Hg 3.42, 4 In 3.42

Arrangement x

# AcInHgPb

A relaxed structure of AcInHgPb (PBE, Alexandria).

total magnetic moment: 0.0 μB/cell
crystal system: orthorhombic
density: 10.269 g/cm³

Lattice parameters (Å, degrees): 4.8744 4.9429 5.0310 90.00 90.00 90.00
Last column: nearest neighbours and their distance in Å.
Space group Pmmm (No. 47)
One atom of each set of equivalent atoms:
Ac1 0.0000 0.0000 0.0000 (multiplicity 1)  4 Pb 3.47, 4 Hg 3.50, 4 In 3.53
In1 0.0000 0.5000 0.5000 (multiplicity 1)  4 Hg 3.47, 4 Pb 3.50, 4 Ac 3.53
Hg1 0.5000 0.0000 0.5000 (multiplicity 1)  4 In 3.47, 4 Ac 3.50, 4 Pb 3.53
Pb1 0.5000 0.5000 0.0000 (multiplicity 1)  4 Ac 3.47, 4 In 3.50, 4 Hg 3.53

Which structure is the most stable? The one labeled arrangement x.